The following is a GGA-PBE calculation of Zr6Ga3Sb after structural relaxation, from Alexandria via LeMat-Bulk.

```
Zr6Ga3Sb
1.0
4.7080 -6.8161 0.0000
4.7080 6.8161 0.0000
0.0000 0.0000 6.8578
Zr Ga Sb
12 6 2
Direct
0.0269 0.9731 0.5000 Zr
0.0942 0.4951 0.9912 Zr
0.2419 0.3237 0.6418 Zr
0.2932 0.7068 0.5948 Zr
0.3237 0.2419 0.1418 Zr
0.4951 0.0942 0.4912 Zr
0.5049 0.9058 0.9912 Zr
0.6763 0.7581 0.6418 Zr
0.7068 0.2932 0.0948 Zr
0.7581 0.6763 0.1418 Zr
0.9058 0.5049 0.4912 Zr
0.9731 0.0269 0.0000 Zr
0.0176 0.2695 0.3011 Ga
0.2695 0.0176 0.8011 Ga
0.4459 0.5541 0.9213 Ga
0.5541 0.4459 0.4213 Ga
0.7305 0.9824 0.3011 Ga
0.9824 0.7305 0.8011 Ga
0.1762 0.8238 0.2168 Sb
0.8238 0.1762 0.7168 Sb
```

Fermi-level density of states in states/eV/f.u.: 8.42
Formation energy from raw total energies in meV/atom: -333
VASP energy in eV per cell: -135.64
SG: Cmc2_1 (36)

***

The following is a GGA-PBE calculation of Zr8Ga2Sb after structural relaxation, from Alexandria via LeMat-Bulk.

```
Zr8Ga2Sb
1.0
3.9552 -6.4036 0.0000
3.9552 6.4036 0.0000
-1.9540 0.0000 4.8592
Zr Ga Sb
8 2 1
Direct
0.0802 0.3185 0.6175 Zr
0.2342 0.7658 0.0000 Zr
0.3185 0.0802 0.6175 Zr
0.4112 0.4112 0.1994 Zr
0.5888 0.5888 0.8006 Zr
0.6815 0.9198 0.3825 Zr
0.7658 0.2342 0.0000 Zr
0.9198 0.6815 0.3825 Zr
0.3083 0.6917 0.5000 Ga
0.6917 0.3083 0.5000 Ga
0.0000 0.0000 0.0000 Sb
```

Fermi-level density of states in states/eV/f.u.: 10.03
Formation energy from raw total energies in meV/atom: -248
VASP energy in eV per cell: -81.29
SG: C2/m (12)

***

The following is a GGA-PBE calculation of Zr4GaSb after structural relaxation, from Alexandria via LeMat-Bulk.

```
Zr4GaSb
1.0
6.7783 0.0000 0.0000
0.0000 6.7783 0.0000
0.0000 0.0000 5.6800
Zr Ga Sb
8 2 2
Direct
0.1448 0.3386 0.0000 Zr
0.1448 0.6614 0.5000 Zr
0.3386 0.1448 0.5000 Zr
0.3386 0.8552 0.0000 Zr
0.6614 0.1448 0.0000 Zr
0.6614 0.8552 0.5000 Zr
0.8552 0.3386 0.5000 Zr
0.8552 0.6614 0.0000 Zr
0.0000 0.0000 0.2500 Ga
0.0000 0.0000 0.7500 Ga
0.5000 0.5000 0.2500 Sb
0.5000 0.5000 0.7500 Sb
```

Fermi-level density of states in states/eV/f.u.: 4.44
Formation energy from raw total energies in meV/atom: -523
VASP energy in eV per cell: -88.96
SG: P4/mcc (124)

***

The following is a GGA-PBE calculation of ZrGaSb after structural relaxation, from Alexandria via LeMat-Bulk.

```
ZrGaSb
1.0
6.7163 0.0000 0.0000
0.0000 6.7163 0.0000
0.0000 0.0000 6.7163
Zr Ga Sb
4 4 4
Direct
0.0358 0.0358 0.0358 Zr
0.4642 0.9642 0.5358 Zr
0.5358 0.4642 0.9642 Zr
0.9642 0.5358 0.4642 Zr
0.0379 0.9621 0.4621 Ga
0.4621 0.0379 0.9621 Ga
0.5379 0.5379 0.5379 Ga
0.9621 0.4621 0.0379 Ga
0.1947 0.6947 0.8053 Sb
0.3053 0.3053 0.3053 Sb
0.6947 0.8053 0.1947 Sb
0.8053 0.1947 0.6947 Sb
```

Fermi-level density of states in states/eV/f.u.: 2.18
Formation energy from raw total energies in meV/atom: 47
VASP energy in eV per cell: -62.22
SG: P2_13 (198)

***

The following is a GGA-PBE calculation of ZrGa2Sb after structural relaxation, from Alexandria via LeMat-Bulk.

```
ZrGa2Sb
1.0
7.7865 0.0000 0.0000
0.0000 7.7865 0.0000
0.0000 0.0000 5.8365
Zr Ga Sb
4 8 4
Direct
0.0000 0.0000 0.0000 Zr
0.0000 0.5000 0.2500 Zr
0.5000 0.0000 0.7500 Zr
0.5000 0.5000 0.5000 Zr
0.2478 0.2500 0.6250 Ga
0.2500 0.7478 0.8750 Ga
0.2500 0.7522 0.3750 Ga
0.2522 0.2500 0.1250 Ga
0.7478 0.7500 0.1250 Ga
0.7500 0.2478 0.3750 Ga
0.7500 0.2522 0.8750 Ga
0.7522 0.7500 0.6250 Ga
0.0000 0.0000 0.5000 Sb
0.0000 0.5000 0.7500 Sb
0.5000 0.0000 0.2500 Sb
0.5000 0.5000 0.0000 Sb
```

Fermi-level density of states in states/eV/f.u.: 3.15
Formation energy from raw total energies in meV/atom: -39
VASP energy in eV per cell: -75.52
SG: I-42d (122)

***

The following is a GGA-PBE calculation of ZrGa2Sb2 after structural relaxation, from Alexandria via LeMat-Bulk.

```
ZrGa2Sb2
1.0
7.4998 0.0000 0.0000
0.0000 7.4998 0.0000
0.0000 0.0000 3.9026
Zr Ga Sb
2 4 4
Direct
0.0000 0.0000 0.0000 Zr
0.5000 0.5000 0.0000 Zr
0.1291 0.3709 0.0000 Ga
0.3709 0.8709 0.0000 Ga
0.6291 0.1291 0.0000 Ga
0.8709 0.6291 0.0000 Ga
0.1783 0.6783 0.5000 Sb
0.3217 0.1783 0.5000 Sb
0.6783 0.8217 0.5000 Sb
0.8217 0.3217 0.5000 Sb
```

Fermi-level density of states in states/eV/f.u.: 4.45
Formation energy from raw total energies in meV/atom: -54
VASP energy in eV per cell: -46.24
SG: P4/mbm (127)

***

The following is a GGA-PBE calculation of Zr6Ga5Sb after structural relaxation, from Alexandria via LeMat-Bulk.

```
Zr6Ga5Sb
1.0
3.4300 -5.8682 0.0000
3.4300 5.8682 0.0000
-2.2316 0.0000 6.4277
Zr Ga Sb
6 5 1
Direct
0.0734 0.4139 0.7422 Zr
0.2414 0.2414 0.2485 Zr
0.4139 0.0734 0.7422 Zr
0.5861 0.9266 0.2578 Zr
0.7586 0.7586 0.7515 Zr
0.9266 0.5861 0.2578 Zr
0.0000 0.0000 0.5000 Ga
0.1683 0.8317 0.0000 Ga
0.3397 0.6603 0.5000 Ga
0.6603 0.3397 0.5000 Ga
0.8317 0.1683 0.0000 Ga
0.5000 0.5000 0.0000 Sb
```

Fermi-level density of states in states/eV/f.u.: 7.41
Formation energy from raw total energies in meV/atom: -386
VASP energy in eV per cell: -75.18
SG: C2/m (12)

***

The following is a GGA-PBE calculation of ZrGa2Sb2 after structural relaxation, from Alexandria via LeMat-Bulk.

```
ZrGa2Sb2
1.0
7.5645 0.0000 0.0000
0.0000 7.5645 0.0000
0.0000 0.0000 4.1413
Zr Ga Sb
2 4 4
Direct
0.0000 0.0000 0.0000 Zr
0.5000 0.5000 0.0000 Zr
0.1714 0.3286 0.5000 Ga
0.3286 0.8286 0.5000 Ga
0.6714 0.1714 0.5000 Ga
0.8286 0.6714 0.5000 Ga
0.1416 0.6416 0.0000 Sb
0.3584 0.1416 0.0000 Sb
0.6416 0.8584 0.0000 Sb
0.8584 0.3584 0.0000 Sb
```

Fermi-level density of states in states/eV/f.u.: 3.20
Formation energy from raw total energies in meV/atom: -19
VASP energy in eV per cell: -45.88
SG: P4/mbm (127)

***

The following is a GGA-PBE calculation of ZrGaSb after structural relaxation, from Alexandria via LeMat-Bulk.

```
ZrGaSb
1.0
4.9941 0.0000 0.0000
-2.4971 4.3251 0.0000
0.0000 0.0000 2.9755
Zr Ga Sb
1 1 1
Direct
0.0000 0.0000 0.0000 Zr
0.3333 0.6667 0.5000 Ga
0.6667 0.3333 0.5000 Sb
```

Fermi-level density of states in states/eV/f.u.: 1.31
Formation energy from raw total energies in meV/atom: -148
VASP energy in eV per cell: -16.14
SG: P-6m2 (187)

***

The following is a GGA-PBE calculation of ZrGa3Sb after structural relaxation, from Alexandria via LeMat-Bulk.

```
ZrGa3Sb
1.0
5.2464 0.0000 0.0000
0.0000 5.2464 0.0000
0.0000 0.0000 5.2464
Zr Ga Sb
1 3 1
Direct
0.0000 0.0000 0.0000 Zr
0.0000 0.0000 0.5000 Ga
0.0000 0.5000 0.0000 Ga
0.5000 0.0000 0.0000 Ga
0.5000 0.5000 0.5000 Sb
```

Fermi-level density of states in states/eV/f.u.: 4.77
Formation energy from raw total energies in meV/atom: 587
VASP energy in eV per cell: -18.82
SG: Pm-3m (221)

***

The following is a GGA-PBE calculation of ScGa after structural relaxation, from Alexandria via LeMat-Bulk.

```
ScGa
1.0
3.2876 0.0000 0.0000
0.0000 11.1496 0.0000
0.0000 0.0000 7.1310
Sc Ga
6 6
Direct
0.0000 0.0000 0.0000 Sc
0.0000 0.1363 0.4096 Sc
0.0000 0.3637 0.9096 Sc
0.0000 0.5000 0.5000 Sc
0.0000 0.6363 0.9096 Sc
0.0000 0.8637 0.4096 Sc
0.5000 0.0000 0.6791 Ga
0.5000 0.2146 0.1107 Ga
0.5000 0.2854 0.6107 Ga
0.5000 0.5000 0.1791 Ga
0.5000 0.7146 0.6107 Ga
0.5000 0.7854 0.1107 Ga
```

Formation enthalpy at 0 K in eV per atom: -0.26
Fermi-level density of states in states/eV/f.u.: 1.72
VASP energy in eV per cell: -59.30
SG: Amm2 (38)

***

The following is a GGA-PBE calculation of Sc4Ga3 after structural relaxation, from Alexandria via LeMat-Bulk.

```
Sc4Ga3
1.0
6.3472 3.6646 1.9749
-6.3472 3.6646 1.9749
0.0000 -7.3291 1.9749
Sc Ga
8 6
Direct
0.0000 0.0000 0.0000 Sc
0.0730 0.6214 0.7687 Sc
0.2313 0.9270 0.3786 Sc
0.3786 0.2313 0.9270 Sc
0.5000 0.5000 0.5000 Sc
0.6214 0.7687 0.0730 Sc
0.7687 0.0730 0.6214 Sc
0.9270 0.3786 0.2313 Sc
0.1247 0.2523 0.5242 Ga
0.2523 0.5242 0.1247 Ga
0.4758 0.8753 0.7477 Ga
0.5242 0.1247 0.2523 Ga
0.7477 0.4758 0.8753 Ga
0.8753 0.7477 0.4758 Ga
```

Formation enthalpy at 0 K in eV per atom: -0.53
Fermi-level density of states in states/eV/f.u.: 6.95
VASP energy in eV per cell: -76.29
SG: R-3 (148)